Entry 1:
# PBE-GGA Rb2Fe2Ag, relaxed
data_Rb2Fe2Ag
_chemical_formula_sum 'Rb2 Fe2 Ag1'
_cell_length_a 11.807
_cell_length_b 11.807
_cell_length_c 11.807
_cell_angle_alpha 163.15
_cell_angle_beta 163.15
_cell_angle_gamma 23.92
_symmetry_space_group_name_H-M 'P 1'
_symmetry_Int_Tables_number 1
_symmetry_space_group_name_Hall 'P 1'
loop_
_atom_site_label
_atom_site_type_symbol
_atom_site_fract_x
_atom_site_fract_y
_atom_site_fract_z
_atom_site_occupancy
Rb1 Rb 0.112 0.112 0.000 1
Rb2 Rb 0.888 0.888 0.000 1
Fe1 Fe 0.250 0.750 0.500 1
Fe2 Fe 0.750 0.250 0.500 1
Ag1 Ag 0.500 0.500 0.000 1
# Energy of formation: 0.685 eV per atom
# Calculated total energy: -3.6577 eV per atom
# Energy above the lowest structure with this stoichiometry: 0.00 eV per formula unit
# Total moment: 5.12 μB per formula unit
# Crystal system: tetragonal

***

Entry 2:
# PBE-GGA RbFeAg2, relaxed
data_RbFeAg2
_chemical_formula_sum 'Rb2 Fe2 Ag4'
_cell_length_a 9.609
_cell_length_b 9.609
_cell_length_c 9.609
_cell_angle_alpha 146.83
_cell_angle_beta 146.83
_cell_angle_gamma 47.61
_symmetry_space_group_name_H-M 'P 1'
_symmetry_Int_Tables_number 1
_symmetry_space_group_name_Hall 'P 1'
loop_
_atom_site_label
_atom_site_type_symbol
_atom_site_fract_x
_atom_site_fract_y
_atom_site_fract_z
_atom_site_occupancy
Rb1 Rb 0.375 0.625 0.750 1
Rb2 Rb 0.625 0.375 0.250 1
Fe1 Fe 0.125 0.875 0.250 1
Fe2 Fe 0.875 0.125 0.750 1
Ag1 Ag 0.000 0.000 0.000 1
Ag2 Ag 0.000 0.000 0.500 1
Ag3 Ag 0.000 0.500 0.000 1
Ag4 Ag 0.500 0.000 0.500 1
# Energy of formation: 0.675 eV per atom
# Calculated total energy: -3.1084 eV per atom
# Energy above the lowest structure with this stoichiometry: 0.00 eV per formula unit
# Total moment: 2.92 μB per formula unit
# Crystal system: tetragonal

***

Entry 3:
# PBE-GGA RbFeAg2, relaxed
data_RbFeAg2
_chemical_formula_sum 'Rb1 Fe1 Ag2'
_cell_length_a 5.173
_cell_length_b 5.173
_cell_length_c 5.173
_cell_angle_alpha 60.00
_cell_angle_beta 60.00
_cell_angle_gamma 60.00
_symmetry_space_group_name_H-M 'P 1'
_symmetry_Int_Tables_number 1
_symmetry_space_group_name_Hall 'P 1'
loop_
_atom_site_label
_atom_site_type_symbol
_atom_site_fract_x
_atom_site_fract_y
_atom_site_fract_z
_atom_site_occupancy
Rb1 Rb 0.000 0.000 0.000 1
Fe1 Fe 0.500 0.500 0.500 1
Ag1 Ag 0.250 0.250 0.250 1
Ag2 Ag 0.750 0.750 0.750 1
# Energy of formation: 0.920 eV per atom
# Calculated total energy: -2.8629 eV per atom
# Energy above the lowest structure with this stoichiometry: 0.98 eV per formula unit
# Total moment: 3.24 μB per formula unit
# Crystal system: cubic

***

Entry 4:
# PBE-GGA RbFe3Ag, relaxed
data_RbFe3Ag
_chemical_formula_sum 'Rb1 Fe3 Ag1'
_cell_length_a 5.006
_cell_length_b 5.006
_cell_length_c 5.006
_cell_angle_alpha 90.00
_cell_angle_beta 90.00
_cell_angle_gamma 90.00
_symmetry_space_group_name_H-M 'P 1'
_symmetry_Int_Tables_number 1
_symmetry_space_group_name_Hall 'P 1'
loop_
_atom_site_label
_atom_site_type_symbol
_atom_site_fract_x
_atom_site_fract_y
_atom_site_fract_z
_atom_site_occupancy
Rb1 Rb 0.000 0.000 0.000 1
Fe1 Fe 0.000 0.500 0.500 1
Fe2 Fe 0.500 0.000 0.500 1
Fe3 Fe 0.500 0.500 0.000 1
Ag1 Ag 0.500 0.500 0.500 1
# Energy of formation: 1.437 eV per atom
# Calculated total energy: -4.4040 eV per atom
# Energy above the lowest structure with this stoichiometry: 0.00 eV per formula unit
# Total moment: 9.84 μB per formula unit
# Crystal system: cubic

***

Entry 5:
# PBE-GGA RbFe3Ag, relaxed
data_RbFe3Ag
_chemical_formula_sum 'Rb1 Fe3 Ag1'
_cell_length_a 4.650
_cell_length_b 4.650
_cell_length_c 4.650
_cell_angle_alpha 90.00
_cell_angle_beta 90.00
_cell_angle_gamma 90.00
_symmetry_space_group_name_H-M 'P 1'
_symmetry_Int_Tables_number 1
_symmetry_space_group_name_Hall 'P 1'
loop_
_atom_site_label
_atom_site_type_symbol
_atom_site_fract_x
_atom_site_fract_y
_atom_site_fract_z
_atom_site_occupancy
Rb1 Rb 0.000 0.000 0.000 1
Fe1 Fe 0.000 0.000 0.500 1
Fe2 Fe 0.000 0.500 0.000 1
Fe3 Fe 0.500 0.000 0.000 1
Ag1 Ag 0.500 0.500 0.500 1
# Energy of formation: 2.524 eV per atom
# Calculated total energy: -3.3173 eV per atom
# Energy above the lowest structure with this stoichiometry: 5.43 eV per formula unit
# Total moment: 7.86 μB per formula unit
# Crystal system: cubic

***

Entry 6:
# PBE-GGA Rb2Fe2Ag, relaxed
data_Rb2Fe2Ag
_chemical_formula_sum 'Rb4 Fe4 Ag2'
_cell_length_a 10.359
_cell_length_b 10.359
_cell_length_c 3.044
_cell_angle_alpha 90.00
_cell_angle_beta 90.00
_cell_angle_gamma 90.00
_symmetry_space_group_name_H-M 'P 1'
_symmetry_Int_Tables_number 1
_symmetry_space_group_name_Hall 'P 1'
loop_
_atom_site_label
_atom_site_type_symbol
_atom_site_fract_x
_atom_site_fract_y
_atom_site_fract_z
_atom_site_occupancy
Rb1 Rb 0.209 0.291 0.000 1
Rb2 Rb 0.291 0.791 0.000 1
Rb3 Rb 0.709 0.209 0.000 1
Rb4 Rb 0.791 0.709 0.000 1
Fe1 Fe 0.071 0.571 0.500 1
Fe2 Fe 0.429 0.071 0.500 1
Fe3 Fe 0.571 0.929 0.500 1
Fe4 Fe 0.929 0.429 0.500 1
Ag1 Ag 0.000 0.000 0.000 1
Ag2 Ag 0.500 0.500 0.000 1
# Energy of formation: 1.088 eV per atom
# Calculated total energy: -3.2546 eV per atom
# Energy above the lowest structure with this stoichiometry: 2.02 eV per formula unit
# Total moment: 5.83 μB per formula unit
# Crystal system: tetragonal

***

Entry 7:
# PBE-GGA Rb2FeAgW, relaxed
data_Rb2FeAgW
_chemical_formula_sum 'Rb2 Fe1 Ag1 W1'
_cell_length_a 6.278
_cell_length_b 6.278
_cell_length_c 4.990
_cell_angle_alpha 90.00
_cell_angle_beta 90.00
_cell_angle_gamma 90.00
_symmetry_space_group_name_H-M 'P 1'
_symmetry_Int_Tables_number 1
_symmetry_space_group_name_Hall 'P 1'
loop_
_atom_site_label
_atom_site_type_symbol
_atom_site_fract_x
_atom_site_fract_y
_atom_site_fract_z
_atom_site_occupancy
Rb1 Rb 0.000 0.500 0.000 1
Rb2 Rb 0.500 0.000 0.000 1
Fe1 Fe 0.000 0.000 0.000 1
Ag1 Ag 0.000 0.000 0.500 1
W1 W 0.500 0.500 0.500 1
# Energy of formation: 2.212 eV per atom
# Calculated total energy: -3.0284 eV per atom
# Total moment: 4.94 μB per formula unit
# Crystal system: tetragonal

***

Entry 8:
# PBE-GGA Fe2ReAg, relaxed
data_Fe2ReAg
_chemical_formula_sum 'Fe2 Re1 Ag1'
_cell_length_a 4.537
_cell_length_b 4.537
_cell_length_c 4.940
_cell_angle_alpha 97.20
_cell_angle_beta 97.20
_cell_angle_gamma 33.97
_symmetry_space_group_name_H-M 'P 1'
_symmetry_Int_Tables_number 1
_symmetry_space_group_name_Hall 'P 1'
loop_
_atom_site_label
_atom_site_type_symbol
_atom_site_fract_x
_atom_site_fract_y
_atom_site_fract_z
_atom_site_occupancy
Fe1 Fe 0.248 0.248 0.225 1
Fe2 Fe 0.752 0.752 0.775 1
Re1 Re 0.500 0.500 0.000 1
Ag1 Ag 0.000 0.000 0.500 1
# Energy of formation: 0.473 eV per atom
# Calculated total energy: -7.5835 eV per atom
# Energy above the lowest structure with this stoichiometry: 0.68 eV per formula unit
# Total moment: 4.45 μB per formula unit
# Crystal system: monoclinic

***

Entry 9:
# PBE-GGA Fe2ReAg, relaxed
data_Fe2ReAg
_chemical_formula_sum 'Fe2 Re1 Ag1'
_cell_length_a 2.643
_cell_length_b 2.643
_cell_length_c 8.656
_cell_angle_alpha 90.00
_cell_angle_beta 90.00
_cell_angle_gamma 108.93
_symmetry_space_group_name_H-M 'P 1'
_symmetry_Int_Tables_number 1
_symmetry_space_group_name_Hall 'P 1'
loop_
_atom_site_label
_atom_site_type_symbol
_atom_site_fract_x
_atom_site_fract_y
_atom_site_fract_z
_atom_site_occupancy
Fe1 Fe 0.000 0.000 0.238 1
Fe2 Fe 0.000 0.000 0.762 1
Re1 Re 0.500 0.500 0.000 1
Ag1 Ag 0.500 0.500 0.500 1
# Energy of formation: 0.301 eV per atom
# Calculated total energy: -7.7547 eV per atom
# Energy above the lowest structure with this stoichiometry: 0.00 eV per formula unit
# Total moment: 5.21 μB per formula unit
# Crystal system: orthorhombic

***

Entry 10:
# PBE-GGA Fe2ReAg, relaxed
data_Fe2ReAg
_chemical_formula_sum 'Fe2 Re1 Ag1'
_cell_length_a 8.956
_cell_length_b 8.956
_cell_length_c 8.956
_cell_angle_alpha 17.49
_cell_angle_beta 17.49
_cell_angle_gamma 17.49
_symmetry_space_group_name_H-M 'P 1'
_symmetry_Int_Tables_number 1
_symmetry_space_group_name_Hall 'P 1'
loop_
_atom_site_label
_atom_site_type_symbol
_atom_site_fract_x
_atom_site_fract_y
_atom_site_fract_z
_atom_site_occupancy
Fe1 Fe 0.245 0.245 0.245 1
Fe2 Fe 0.755 0.755 0.755 1
Re1 Re 0.500 0.500 0.500 1
Ag1 Ag 0.000 0.000 0.000 1
# Energy of formation: 0.345 eV per atom
# Calculated total energy: -7.7108 eV per atom
# Energy above the lowest structure with this stoichiometry: 0.18 eV per formula unit
# Total moment: 4.05 μB per formula unit
# Crystal system: trigonal

***

Number 1: calculated density 4.69 g/cm³. Number 2: calculated density 4.48 g/cm³. Number 3: calculated density 6.06 g/cm³. Number 4: calculated density 4.78 g/cm³. Number 5: calculated density 5.96 g/cm³. Number 6: calculated density 3.97 g/cm³. Number 7: calculated density 4.38 g/cm³. Number 8: calculated density 11.96 g/cm³. Number 9: calculated density 11.78 g/cm³. Number 10: calculated density 11.89 g/cm³.